A geometry-optimized TbNdNi3 structure, computed with GGA-PBE.

**DFT formation energy**: -368.0 meV/atom

abc: 4.019 3.941 12.318
angles: 99.20 90.00 90.00
Fractional positions:
Nd 0.250 0.072 0.144
Nd 0.750 0.928 0.856
Ni 0.750 0.622 0.243
Ni 0.750 0.324 0.649
Ni 0.250 0.676 0.351
Ni 0.250 0.475 0.950
Ni 0.250 0.378 0.757
Ni 0.750 0.525 0.050
Tb 0.250 0.796 0.592
Tb 0.750 0.204 0.408